Sn3SeS3: optimized geometry, PBE-GGA.

Results
* calculated total energy: -120.5 eV for the cell shown
* V: 26.0 Å³/atom
* M_tot: 0.0 μB/cell
* E_form (uncorrected): -0.32 eV per atom

Cell: 11.495 11.329 5.595 Å, 90.00 90.00 90.00°
Space group Cmcm (No. 63)
Symmetry-distinct sites (fractional):
Sn  0.000  0.131  0.250 x4
Sn  0.245  0.376  0.250 x8
Se  0.000  0.369  0.250 x4
S  0.000  0.114  0.750 x4
S  0.236  0.124  0.250 x8

PrNd4Y4: optimized geometry, PBE-GGA.

Results
* calculated total energy: -99.2 eV for the cell shown
* V: 34.0 Å³/atom
* M_tot: 0.0 μB/cell
* energy relative to the elements: 0.126 eV per formula unit

Cell: 6.291 9.628 10.904 Å, 100.84 106.64 96.27°
Space group P-1 (No. 2)
Symmetry-distinct sites (fractional):
Pr  0.249  0.083  0.304 x2
Nd  0.250  0.417  0.528 x2
Nd  0.250  0.748  0.083 x2
Nd  0.250  0.750  0.751 x2
Nd  0.251  0.084  0.640 x2
Y  0.248  0.748  0.415 x2
Y  0.250  0.417  0.862 x2
Y  0.250  0.418  0.193 x2
Y  0.251  0.084  0.973 x2

BiSbI: optimized geometry, PBE-GGA.

Results
* calculated total energy: -72.8 eV for the cell shown
* V: 47.7 Å³/atom
* M_tot: 0.0 μB/cell
* E_form (uncorrected): 0.15 eV per atom

Cell: 11.948 11.276 8.491 Å, 90.00 90.00 90.00°
Space group Cmce (No. 64)
Symmetry-distinct sites (fractional):
Bi  0.000  0.126  0.079 x8
Sb  0.000  0.120  0.431 x8
I  0.248  0.000  0.000 x8

Be2NbTl2: optimized geometry, PBE-GGA.

Results
* calculated total energy: -38.7 eV for the cell shown
* V: 16.9 Å³/atom
* M_tot: 0.0 μB/cell
* energy relative to the elements: 2.930 eV per formula unit

Cell: 6.742 6.742 3.713 Å, 90.00 90.00 90.00°
Space group P4/mbm (No. 127)
Symmetry-distinct sites (fractional):
Be  0.122  0.378  0.000 x4
Nb  0.000  0.000  0.000 x2
Tl  0.177  0.677  0.500 x4

Sr2Er2Al3Si5N11O3: optimized geometry, PBE-GGA.

Results
* calculated total energy: -190.2 eV for the cell shown
* V: 13.3 Å³/atom
* M_tot: 0.0 μB/cell
* E_form (uncorrected): -1.27 eV per atom

Cell: 6.1936 6.1936 10.4455 Å, 90.00 90.00 120.00°
Space group P3m1 (No. 156)
Symmetry-distinct sites (fractional):
Sr  0.0000  0.0000  0.0000 x1
Sr  0.3333  0.6667  0.5162 x1
Er  0.0000  0.0000  0.5083 x1
Er  0.3333  0.6667  0.2164 x1
Al  0.3435  0.1717  0.3031 x3
Si  0.0063  0.5032  0.7990 x3
Si  0.6667  0.3333  0.0812 x1
Si  0.6667  0.3333  0.5745 x1
N  0.1579  0.3159  0.3624 x3
N  0.3664  0.1832  0.1291 x3
N  0.5200  0.0401  0.6427 x3
N  0.6667  0.3333  0.4001 x1
N  0.6667  0.3333  0.8820 x1
O  0.1923  0.3847  0.8477 x3

NiBiSeCl2: optimized geometry, PBE-GGA.

Results
* calculated total energy: -18.0 eV for the cell shown
* V: 21.0 Å³/atom
* M_tot: 0.0 μB/cell
* E_form (uncorrected): -0.23 eV per atom

Cell: 4.569 4.569 5.037 Å, 90.00 90.00 90.00°
Space group P4/mmm (No. 123)
Symmetry-distinct sites (fractional):
Ni  0.000  0.000  0.000 x1
Bi  0.500  0.500  0.500 x1
Se  0.000  0.000  0.500 x1
Cl  0.000  0.500  0.000 x2

Please write out number 1 again, unchanged.
Sn3SeS3: optimized geometry, PBE-GGA.

Results
* calculated total energy: -120.5 eV for the cell shown
* V: 26.0 Å³/atom
* M_tot: 0.0 μB/cell
* E_form (uncorrected): -0.32 eV per atom

Cell: 11.495 11.329 5.595 Å, 90.00 90.00 90.00°
Space group Cmcm (No. 63)
Symmetry-distinct sites (fractional):
Sn  0.000  0.131  0.250 x4
Sn  0.245  0.376  0.250 x8
Se  0.000  0.369  0.250 x4
S  0.000  0.114  0.750 x4
S  0.236  0.124  0.250 x8

Please write out number 2 again, unchanged.
PrNd4Y4: optimized geometry, PBE-GGA.

Results
* calculated total energy: -99.2 eV for the cell shown
* V: 34.0 Å³/atom
* M_tot: 0.0 μB/cell
* energy relative to the elements: 0.126 eV per formula unit

Cell: 6.291 9.628 10.904 Å, 100.84 106.64 96.27°
Space group P-1 (No. 2)
Symmetry-distinct sites (fractional):
Pr  0.249  0.083  0.304 x2
Nd  0.250  0.417  0.528 x2
Nd  0.250  0.748  0.083 x2
Nd  0.250  0.750  0.751 x2
Nd  0.251  0.084  0.640 x2
Y  0.248  0.748  0.415 x2
Y  0.250  0.417  0.862 x2
Y  0.250  0.418  0.193 x2
Y  0.251  0.084  0.973 x2

Question: Among the records above, which one has the lowest V?
Answer: Sr2Er2Al3Si5N11O3

Question: V of number 5 (Sr2Er2Al3Si5N11O3)?
Answer: 13.3 Å³/atom